{
  "formula": "NiAgW3",
  "functional": "GGA-PBE",
  "state": "relaxed",
  "spacegroup": "No. 221",
  "e_form_ev_per_fu": 15.62,
  "lattice": [[-2.239, -3.165, 2.740], [3.598, -3.043, -0.574], [2.139, 1.806, 3.834]],
  "species": ["W", "Ni", "Ag", "W", "W"],
  "frac_coords": [[0.000, 0.500, 0.000], [0.500, 0.500, 0.500], [0.000, 0.000, 0.000], [0.500, 0.000, 0.000], [0.000, 0.000, 0.500]]
}